# 1
# TmInHgS4

TmInHgS4 after structural relaxation (PBE, the Alexandria database).

Unit cell a=7.853 b=7.893 c=7.893 alpha=59.83 beta=60.17 gamma=60.17
Fractional positions:
Tm: 0.000 0.000 0.000
Tm: 0.000 0.500 0.500
In: 0.500 0.000 0.500
In: 0.000 0.000 0.500
Hg: 0.624 0.626 0.126
Hg: 0.376 0.374 0.874
S: 0.757 0.765 0.720
S: 0.243 0.780 0.735
S: 0.757 0.220 0.265
S: 0.243 0.235 0.280
S: 0.223 0.761 0.261
S: 0.756 0.761 0.261
S: 0.244 0.239 0.739
S: 0.777 0.239 0.739

Summary:
volume = 346 Å³/cell
SG = Imma
ΔE_f (raw) = -0.965 eV/atom

# 2
# NpSnP2

NpSnP2 after structural relaxation (PBE, the Alexandria database).

Unit cell a=3.638 b=4.571 c=4.571 alpha=90.00 beta=90.00 gamma=90.00
Last column: magnetic moment on the atom in μB.
Fractional positions:
Np: 0.500 0.000 0.000  3.28
P: 0.000 0.000 0.500  -0.11
P: 0.000 0.500 0.000  -0.11
Sn: 0.500 0.500 0.500  -0.01

Summary:
volume = 76 Å³/cell
SG = P4/mmm
electronic total energy = -7.27 eV/atom
density of states at the Fermi level = 2.0070 states/eV per atom

# 3
# Li3P5Se12

Li3P5Se12 after structural relaxation (PBE, the Alexandria database).

Unit cell a=13.413 b=13.413 c=13.413 alpha=109.47 beta=109.47 gamma=109.47
Fractional positions:
Li: 0.750 0.375 0.125
Li: 0.875 0.750 0.125
Li: 0.375 0.750 0.625
Li: 0.250 0.125 0.375
Li: 0.875 0.125 0.250
Li: 0.375 0.625 0.250
Li: 0.625 0.375 0.750
Li: 0.125 0.875 0.750
Li: 0.750 0.875 0.625
Li: 0.625 0.250 0.375
Li: 0.125 0.250 0.875
Li: 0.250 0.625 0.875
P: 0.125 0.375 0.250
P: 0.000 0.500 0.000
P: 0.000 0.000 0.000
P: 0.375 0.250 0.125
P: 0.500 0.000 0.500
P: 0.500 0.500 0.000
P: 0.125 0.750 0.375
P: 0.750 0.125 0.875
P: 0.750 0.625 0.375
P: 0.375 0.125 0.750
P: 0.625 0.875 0.250
P: 0.500 0.500 0.500
P: 0.500 0.000 0.000
P: 0.000 0.000 0.500
P: 0.250 0.375 0.625
P: 0.250 0.875 0.125
P: 0.000 0.500 0.500
P: 0.875 0.250 0.625
P: 0.625 0.750 0.875
P: 0.875 0.625 0.750
Se: 0.709 0.124 0.027
Se: 0.318 0.527 0.404
Se: 0.973 0.376 0.291
Se: 0.527 0.209 0.124
Se: 0.585 0.709 0.682
Se: 0.973 0.596 0.182
Se: 0.318 0.791 0.415
Se: 0.096 0.915 0.124
Se: 0.596 0.973 0.682
Se: 0.709 0.585 0.182
Se: 0.791 0.473 0.376
Se: 0.818 0.904 0.027
Se: 0.124 0.709 0.527
Se: 0.376 0.404 0.085
Se: 0.085 0.904 0.376
Se: 0.415 0.124 0.596
Se: 0.085 0.182 0.209
Se: 0.473 0.682 0.096
Se: 0.818 0.915 0.291
Se: 0.124 0.415 0.096
Se: 0.376 0.973 0.791
Se: 0.596 0.624 0.415
Se: 0.904 0.818 0.527
Se: 0.791 0.318 0.915
Se: 0.404 0.376 0.585
Se: 0.096 0.182 0.473
Se: 0.209 0.682 0.085
Se: 0.182 0.085 0.709
Se: 0.624 0.027 0.209
Se: 0.876 0.585 0.904
Se: 0.527 0.318 0.904
Se: 0.585 0.876 0.404
Se: 0.915 0.818 0.791
Se: 0.915 0.096 0.624
Se: 0.876 0.291 0.473
Se: 0.182 0.096 0.973
Se: 0.624 0.596 0.915
Se: 0.404 0.027 0.318
Se: 0.291 0.415 0.818
Se: 0.209 0.527 0.624
Se: 0.904 0.085 0.876
Se: 0.682 0.209 0.585
Se: 0.473 0.791 0.876
Se: 0.027 0.404 0.818
Se: 0.415 0.291 0.318
Se: 0.027 0.624 0.709
Se: 0.682 0.473 0.596
Se: 0.291 0.876 0.973

Summary:
volume = 1858 Å³/cell
SG = Ia-3d
density of states at the Fermi level = 0.0203 states/eV per atom
ΔE_f (raw) = -0.173 eV/atom

# 4
# Pm2Ni9Ir

Pm2Ni9Ir after structural relaxation (PBE, the Alexandria database).

Unit cell a=4.911 b=4.911 c=8.577 alpha=73.36 beta=73.36 gamma=60.00
Last column: magnetic moment on the atom in μB.
Fractional positions:
Pm: 0.868 0.868 0.397  -0.08
Pm: 0.132 0.132 0.603  -0.08
Ni: 0.667 0.667 0.999  0.68
Ni: 0.333 0.333 0.001  0.68
Ni: 0.500 0.500 0.500  0.20
Ni: 0.421 0.421 0.238  0.39
Ni: 0.920 0.421 0.238  0.39
Ni: 0.421 0.920 0.238  0.39
Ni: 0.579 0.579 0.762  0.39
Ni: 0.579 0.080 0.762  0.39
Ni: 0.080 0.579 0.762  0.39
Ir: 0.000 0.000 0.000  0.82

Summary:
volume = 169 Å³/cell
SG = R-3m
electronic total energy = -5.91 eV/atom
density of states at the Fermi level = 1.2750 states/eV per atom

# 5
# Ac6OsPd

Ac6OsPd after structural relaxation (PBE, the Alexandria database).

Unit cell a=7.306 b=7.306 c=7.427 alpha=99.05 beta=99.05 gamma=118.71
Fractional positions:
Ac: 0.571 0.898 0.743
Ac: 0.898 0.571 0.743
Ac: 0.102 0.429 0.257
Ac: 0.429 0.102 0.257
Ac: 0.249 0.249 0.741
Ac: 0.751 0.751 0.259
Os: 0.500 0.500 0.500
Pd: 0.000 0.000 0.000

Summary:
volume = 331 Å³/cell
SG = C2/m
electronic total energy = -5.33 eV/atom
density of states at the Fermi level = 1.0893 states/eV per atom

# 6
# Ac6Cd2Tc

Ac6Cd2Tc after structural relaxation (PBE, the Alexandria database).

Unit cell a=7.618 b=8.040 c=11.341 alpha=90.00 beta=89.89 gamma=90.00
Fractional positions:
Ac: 0.911 0.996 0.252
Ac: 0.805 0.695 0.540
Ac: 0.808 0.697 0.958
Ac: 0.692 0.197 0.542
Ac: 0.695 0.195 0.960
Ac: 0.589 0.496 0.248
Ac: 0.089 0.004 0.748
Ac: 0.195 0.305 0.460
Ac: 0.192 0.303 0.042
Ac: 0.308 0.803 0.458
Ac: 0.305 0.805 0.040
Ac: 0.411 0.504 0.752
Cd: 0.963 0.419 0.752
Cd: 0.537 0.919 0.748
Cd: 0.463 0.081 0.252
Cd: 0.037 0.581 0.248
Tc: 0.500 0.500 0.000
Tc: 0.000 0.000 0.500

Summary:
volume = 695 Å³/cell
SG = P2_1/c
electronic total energy = -4.15 eV/atom
density of states at the Fermi level = 1.2507 states/eV per atom

# 7
# ScTc2Pb

ScTc2Pb after structural relaxation (PBE, the Alexandria database).

Unit cell a=4.270 b=4.270 c=3.913 alpha=90.00 beta=90.00 gamma=90.00
Last column: magnetic moment on the atom in μB.
Fractional positions:
Pb: 0.500 0.000 0.500  -0.01
Sc: 0.000 0.500 0.500  -0.04
Tc: 0.000 0.000 0.000  0.54
Tc: 0.500 0.500 0.000  0.54

Summary:
volume = 71 Å³/cell
SG = P4/mmm
electronic total energy = -7.47 eV/atom
density of states at the Fermi level = 1.4752 states/eV per atom

# 8
# NdDyBi

NdDyBi after structural relaxation (PBE, the Alexandria database).

Unit cell a=4.249 b=6.469 c=8.631 alpha=117.43 beta=90.00 gamma=109.17
Last column: magnetic moment on the atom in μB.
Fractional positions:
Nd: 0.433 0.865 0.164  0.10
Nd: 0.567 0.135 0.836  0.10
Dy: 0.848 0.695 0.449  0.26
Dy: 0.152 0.305 0.551  0.26
Bi: 0.840 0.681 0.820  0.00
Bi: 0.160 0.319 0.180  0.00

Summary:
volume = 196 Å³/cell
SG = C2/m
electronic total energy = -4.94 eV/atom
density of states at the Fermi level = 1.3450 states/eV per atom

# 9
# Sm2TmCd

Sm2TmCd after structural relaxation (PBE, the Alexandria database).

Unit cell a=3.585 b=3.585 c=11.174 alpha=80.77 beta=80.77 gamma=60.00
Fractional positions:
Tm: 0.500 0.500 0.500
Sm: 0.254 0.254 0.238
Sm: 0.746 0.746 0.762
Cd: 0.000 0.000 0.000

Summary:
volume = 122 Å³/cell
SG = R-3m
electronic total energy = -3.76 eV/atom
density of states at the Fermi level = 1.0780 states/eV per atom

# 10
# Tb6TlP2S3

Tb6TlP2S3 after structural relaxation (PBE, the Alexandria database).

Unit cell a=4.001 b=8.200 c=9.050 alpha=102.77 beta=102.77 gamma=90.00
Fractional positions:
Tb: 0.327 0.905 0.653
Tb: 0.670 0.578 0.340
Tb: 0.673 0.095 0.347
Tb: 0.002 0.272 0.004
Tb: 0.998 0.728 0.996
Tb: 0.330 0.422 0.660
Tl: 0.500 0.000 0.000
P: 0.832 0.664 0.665
P: 0.168 0.336 0.335
S: 0.500 0.500 0.000
S: 0.833 0.169 0.666
S: 0.167 0.831 0.334

Summary:
volume = 282 Å³/cell
SG = C2/m
density of states at the Fermi level = 0.3518 states/eV per atom
ΔE_f (raw) = -1.577 eV/atom

# 11
# TcOs2Pt

TcOs2Pt after structural relaxation (PBE, the Alexandria database).

Unit cell a=2.694 b=2.694 c=9.459 alpha=90.00 beta=90.00 gamma=118.26
Fractional positions:
Os: 0.000 0.000 0.990
Os: 0.000 0.000 0.510
Pt: 0.500 0.500 0.250
Tc: 0.500 0.500 0.750

Summary:
volume = 60 Å³/cell
SG = Cmmm
electronic total energy = -9.26 eV/atom
density of states at the Fermi level = 1.2344 states/eV per atom

# 12
# BeFeAg2

BeFeAg2 after structural relaxation (PBE, the Alexandria database).

Unit cell a=5.151 b=5.151 c=2.685 alpha=78.17 beta=78.17 gamma=116.98
Last column: magnetic moment on the atom in μB.
Fractional positions:
Be: 0.500 0.000 0.500  -0.05
Fe: 0.000 0.500 0.500  2.75
Ag: 0.000 0.000 0.000  0.01
Ag: 0.500 0.500 0.000  0.01

Summary:
volume = 58 Å³/cell
SG = C2/m
electronic total energy = -4.01 eV/atom
density of states at the Fermi level = 0.9780 states/eV per atom